First-principles (GGA-PBE) data for an optimized crystal structure of CeTl2, as listed in the Alexandria database.

Unit cell a=4.4746 b=4.4746 c=6.6356 alpha=121.94 beta=121.94 gamma=85.28
Fractional coordinates of all 3 atoms:
Ce: 0.5000 0.5000 0.0000
Tl: 0.8206 0.8206 0.6665
Tl: 0.1794 0.1794 0.3335

calculated formation energy = -56 meV per atom
size of the total moment = 1.058 μB/f.u.
symmetry = C2/m, No. 12

First-principles (GGA-PBE) data for an optimized crystal structure of CeTl3, as listed in the Alexandria database.

Unit cell a=4.8027 b=4.8027 c=6.0282 alpha=113.48 beta=113.48 gamma=90.00
Fractional coordinates of all 4 atoms:
Ce: 0.0000 0.0000 0.0000
Tl: 0.5000 0.5000 0.0000
Tl: 0.2500 0.7500 0.5000
Tl: 0.7500 0.2500 0.5000

calculated formation energy = -149 meV per atom
size of the total moment = 1.074 μB/f.u.
symmetry = I4/mmm, No. 139

First-principles (GGA-PBE) data for an optimized crystal structure of Ce5Tl4, as listed in the Alexandria database.

Unit cell a=4.1738 b=6.0473 c=10.9790 alpha=70.28 beta=79.04 gamma=69.81
Fractional coordinates of all 9 atoms:
Tl: 0.3171 0.1470 0.2189
Ce: 0.3641 0.3694 0.9023
Ce: 0.0000 0.0000 0.0000
Tl: 0.6829 0.8530 0.7811
Ce: 0.6812 0.1782 0.4595
Tl: 0.0071 0.3163 0.6696
Ce: 0.3188 0.8218 0.5405
Tl: 0.9929 0.6837 0.3304
Ce: 0.6359 0.6306 0.0977

energy above the most stable polymorph in this dataset = 6.0 kJ/mol of atoms
calculated formation energy = -144 meV per atom
size of the total moment = 3.457 μB/f.u.
symmetry = C2/m, No. 12

First-principles (GGA-PBE) data for an optimized crystal structure of CeTl3, as listed in the Alexandria database.

Unit cell a=4.8287 b=4.8285 c=4.8285 alpha=90.00 beta=90.00 gamma=90.00
Fractional coordinates of all 4 atoms:
Tl: 0.5000 0.5000 0.0830
Ce: 0.5000 0.0000 0.5832
Tl: 0.0000 0.5000 0.5835
Tl: 0.0000 0.0000 0.0836

calculated formation energy = -240 meV per atom
size of the total moment = 1.017 μB/f.u.
symmetry = Pm-3m, No. 221

First-principles (GGA-PBE) data for an optimized crystal structure of Ce4Tl3, as listed in the Alexandria database.

Unit cell a=6.1848 b=6.1848 c=6.0234 alpha=90.00 beta=90.00 gamma=120.00
Fractional coordinates of all 7 atoms:
Tl: 0.5000 0.0000 0.0000
Tl: 0.5000 0.5000 0.0000
Ce: 0.0000 0.0000 0.2787
Ce: 0.6667 0.3333 0.5000
Ce: 0.3333 0.6667 0.5000
Tl: 0.0000 0.5000 0.0000
Ce: 0.0000 0.0000 0.7213

calculated formation energy = -121 meV per atom
size of the total moment = 3.702 μB/f.u.
symmetry = P6/mmm, No. 191

First-principles (GGA-PBE) data for an optimized crystal structure of CeTl5, as listed in the Alexandria database.

Unit cell a=5.0053 b=4.7461 c=7.7111 alpha=107.92 beta=90.00 gamma=90.00
Fractional coordinates of all 6 atoms:
Tl: 0.0000 0.6713 0.3425
Ce: 0.0000 0.0000 0.0000
Tl: 0.5000 0.8340 0.6681
Tl: 0.5000 0.5000 0.0000
Tl: 0.0000 0.3287 0.6575
Tl: 0.5000 0.1660 0.3319

calculated formation energy = -83 meV per atom
size of the total moment = 1.234 μB/f.u.
symmetry = Cmmm, No. 65

First-principles (GGA-PBE) data for an optimized crystal structure of Ce7Tl3, as listed in the Alexandria database.

Unit cell a=4.8149 b=6.8370 c=8.8163 alpha=98.33 beta=105.85 gamma=90.00
Fractional coordinates of all 10 atoms:
Tl: 0.2006 0.5873 0.4011
Ce: 0.2031 0.0831 0.4063
Ce: 0.7969 0.9169 0.5937
Ce: 0.3947 0.1917 0.7893
Tl: 0.0000 0.0000 0.0000
Tl: 0.7994 0.4127 0.5989
Ce: 0.0000 0.5000 0.0000
Ce: 0.4036 0.7076 0.8073
Ce: 0.5964 0.2924 0.1927
Ce: 0.6053 0.8083 0.2107

calculated formation energy = -114 meV per atom
size of the total moment = 6.114 μB/f.u.
symmetry = C2/m, No. 12

First-principles (GGA-PBE) data for an optimized crystal structure of Ce4Tl5, as listed in the Alexandria database.

Unit cell a=4.7534 b=5.9783 c=9.9846 alpha=81.77 beta=76.23 gamma=66.57
Fractional coordinates of all 9 atoms:
Tl: 0.3346 0.4347 0.8960
Ce: 0.6933 0.8427 0.7707
Ce: 0.0215 0.6366 0.3204
Tl: 0.6654 0.5653 0.1040
Ce: 0.3067 0.1573 0.2293
Tl: 0.0000 0.0000 0.0000
Tl: 0.3344 0.7891 0.5422
Tl: 0.6656 0.2109 0.4578
Ce: 0.9785 0.3634 0.6796

energy above the most stable polymorph in this dataset = 3.0 kJ/mol of atoms
calculated formation energy = -178 meV per atom
size of the total moment = 3.305 μB/f.u.
symmetry = C2/m, No. 12

First-principles (GGA-PBE) data for an optimized crystal structure of Ce2TmTl2, as listed in the Alexandria database.

Unit cell a=5.0384 b=5.3000 c=6.6098 alpha=67.46 beta=67.60 gamma=61.62
Fractional coordinates of all 5 atoms:
Ce: 0.2170 0.1617 0.4042
Tl: 0.6032 0.5839 0.2097
Tl: 0.3968 0.4161 0.7903
Tm: 0.0000 0.0000 0.0000
Ce: 0.7830 0.8383 0.5958

energy above the most stable polymorph in this dataset = 0.0 kJ/mol of atoms
calculated formation energy = -187 meV per atom
size of the total moment = 1.750 μB/f.u.
symmetry = C2/m, No. 12

First-principles (GGA-PBE) data for an optimized crystal structure of CeTm5Tl6, as listed in the Alexandria database.

Unit cell a=5.3667 b=7.5041 c=8.5001 alpha=90.00 beta=71.71 gamma=90.00
Fractional coordinates of all 12 atoms:
Tm: 0.0000 0.5000 0.0000
Tm: 0.6628 0.5000 0.6747
Tl: 0.5000 0.7448 0.0000
Tl: 0.1703 0.7438 0.6596
Ce: 0.0000 0.0000 0.0000
Tm: 0.3320 0.0000 0.3359
Tm: 0.6680 0.0000 0.6641
Tl: 0.8297 0.7438 0.3404
Tl: 0.8297 0.2562 0.3404
Tl: 0.5000 0.2552 0.0000
Tl: 0.1703 0.2562 0.6596
Tm: 0.3372 0.5000 0.3253

energy above the most stable polymorph in this dataset = 0.0 kJ/mol of atoms
calculated formation energy = -278 meV per atom
size of the total moment = 1.324 μB/f.u.
symmetry = P2/m, No. 10

First-principles (GGA-PBE) data for an optimized crystal structure of CeTm6Tl5, as listed in the Alexandria database.

Unit cell a=10.4384 b=6.1961 c=6.2055 alpha=60.05 beta=84.27 gamma=78.46
Fractional coordinates of all 12 atoms:
Tm: 0.2570 0.9146 0.6569
Ce: 0.0000 0.0000 0.0000
Tm: 0.7430 0.0854 0.3431
Tl: 0.5000 0.8338 0.3323
Tl: 0.5000 0.1662 0.6677
Tm: 0.2570 0.5715 0.3431
Tm: 0.7415 0.7436 0.0000
Tl: 0.5000 0.5000 0.0000
Tl: 0.0000 0.3337 0.3326
Tl: 0.0000 0.6663 0.6674
Tm: 0.7430 0.4285 0.6569
Tm: 0.2585 0.2564 0.0000

calculated formation energy = -129 meV per atom
size of the total moment = 2.849 μB/f.u.
symmetry = C2/m, No. 12

First-principles (GGA-PBE) data for an optimized crystal structure of Ce5TmTl6, as listed in the Alexandria database.

Unit cell a=4.9476 b=9.0796 c=9.0796 alpha=109.80 beta=105.80 gamma=105.80
Fractional coordinates of all 12 atoms:
Ce: 0.5000 0.1751 0.8249
Ce: 0.0000 0.6635 0.3365
Tl: 0.7416 0.2417 0.2417
Tl: 0.2584 0.7583 0.7583
Tl: 0.2452 0.4084 0.0821
Ce: 0.5000 0.5000 0.5000
Ce: 0.0000 0.3365 0.6635
Tl: 0.7548 0.9179 0.5916
Ce: 0.5000 0.8249 0.1751
Tm: 0.0000 0.0000 0.0000
Tl: 0.2452 0.0821 0.4084
Tl: 0.7548 0.5916 0.9179

calculated formation energy = -249 meV per atom
size of the total moment = 6.644 μB/f.u.
symmetry = Immm, No. 71

First-principles (GGA-PBE) data for an optimized crystal structure of CeTm5Tl4, as listed in the Alexandria database.

Unit cell a=3.5145 b=3.5145 c=21.8915 alpha=90.00 beta=90.00 gamma=90.00
Fractional coordinates of all 10 atoms:
Tm: 0.5000 0.5000 0.5000
Tm: 0.5000 0.5000 0.1089
Tl: 0.0000 0.0000 0.2064
Ce: 0.0000 0.0000 0.0000
Tm: 0.5000 0.5000 0.3047
Tm: 0.5000 0.5000 0.6953
Tl: 0.0000 0.0000 0.5979
Tm: 0.5000 0.5000 0.8911
Tl: 0.0000 0.0000 0.4021
Tl: 0.0000 0.0000 0.7936

calculated formation energy = -231 meV per atom
size of the total moment = 0.388 μB/f.u.
symmetry = P4/mmm, No. 123

First-principles (GGA-PBE) data for an optimized crystal structure of CeTm3Tl3, as listed in the Alexandria database.

Unit cell a=5.2668 b=9.3512 c=9.3512 alpha=120.00 beta=90.00 gamma=90.00
Fractional coordinates of all 14 atoms:
Tl: 0.2500 0.5511 0.9249
Tm: 0.2500 0.2294 0.0029
Tl: 0.7500 0.9249 0.3739
Tl: 0.7500 0.4489 0.0751
Tl: 0.2500 0.0751 0.6261
Tl: 0.7500 0.6261 0.5511
Tm: 0.7500 0.2265 0.2294
Tm: 0.2500 0.9971 0.2265
Tl: 0.2500 0.3739 0.4489
Tm: 0.2500 0.7735 0.7706
Tm: 0.7500 0.7706 0.9971
Ce: 0.7500 0.3333 0.6667
Ce: 0.2500 0.6667 0.3333
Tm: 0.7500 0.0029 0.7735

calculated formation energy = -182 meV per atom
size of the total moment = 1.224 μB/f.u.
symmetry = P6_3/m, No. 176

First-principles (GGA-PBE) data for an optimized crystal structure of CeTm4Tl4, as listed in the Alexandria database.

Unit cell a=7.3698 b=7.3698 c=10.2993 alpha=90.00 beta=90.00 gamma=90.00
Fractional coordinates of all 18 atoms:
Tl: 0.7840 0.5000 0.2077
Tl: 0.0000 0.2840 0.7077
Tl: 0.5000 0.2160 0.7923
Ce: 0.5000 0.5000 0.5000
Tl: 0.0000 0.7160 0.7077
Tm: 0.5000 0.2342 0.0932
Tm: 0.0000 0.7342 0.4068
Tm: 0.5000 0.7658 0.0932
Tl: 0.7160 0.0000 0.2923
Tm: 0.2658 0.0000 0.5932
Tm: 0.2342 0.5000 0.9068
Tm: 0.7658 0.5000 0.9068
Tl: 0.2160 0.5000 0.2077
Tm: 0.7342 0.0000 0.5932
Tl: 0.2840 0.0000 0.2923
Tl: 0.5000 0.7840 0.7923
Ce: 0.0000 0.0000 0.0000
Tm: 0.0000 0.2658 0.4068

calculated formation energy = -52 meV per atom
size of the total moment = 1.811 μB/f.u.
symmetry = P4_2/nmc, No. 137

First-principles (GGA-PBE) data for an optimized crystal structure of CeTm2Tl2, as listed in the Alexandria database.

Unit cell a=5.1027 b=5.1027 c=6.4856 alpha=90.00 beta=90.00 gamma=120.00
Fractional coordinates of all 5 atoms:
Tl: 0.0000 0.0000 0.7498
Tl: 0.0000 0.0000 0.2502
Tm: 0.6667 0.3333 0.0000
Ce: 0.3333 0.6667 0.0000
Tm: 0.3333 0.6667 0.5000

energy above the most stable polymorph in this dataset = 30.0 kJ/mol of atoms
calculated formation energy = 89 meV per atom
size of the total moment = 0.805 μB/f.u.
symmetry = P-6m2, No. 187

First-principles (GGA-PBE) data for an optimized crystal structure of CeTmTl2, as listed in the Alexandria database.

Unit cell a=3.5806 b=3.5806 c=8.6306 alpha=90.00 beta=90.00 gamma=90.00
Fractional coordinates of all 4 atoms:
Tl: 0.0000 0.0000 0.2395
Tm: 0.5000 0.5000 0.0000
Ce: 0.5000 0.5000 0.5000
Tl: 0.0000 0.0000 0.7605

calculated formation energy = -274 meV per atom
size of the total moment = 1.024 μB/f.u.
symmetry = P4/mmm, No. 123

First-principles (GGA-PBE) data for an optimized crystal structure of Ce2Tm2Tl5, as listed in the Alexandria database.

Unit cell a=9.0938 b=6.4652 c=10.4019 alpha=108.11 beta=115.92 gamma=90.00
Fractional coordinates of all 18 atoms:
Ce: 0.8547 0.4158 0.8729
Tm: 0.0681 0.2265 0.5000
Tm: 0.9319 0.7265 0.5000
Tl: 0.7184 0.2408 0.5000
Tl: 0.8413 0.3195 0.1814
Tm: 0.5000 0.4789 0.0000
Tm: 0.0000 0.9789 0.0000
Tl: 0.2816 0.7408 0.5000
Tl: 0.4624 0.3225 0.6716
Tl: 0.7092 0.8225 0.6716
Ce: 0.1453 0.5430 0.1271
Tl: 0.5376 0.6509 0.3284
Tl: 0.2908 0.1509 0.3284
Ce: 0.4818 0.0430 0.1271
Tl: 0.1599 0.6380 0.8186
Ce: 0.5182 0.9158 0.8729
Tl: 0.1587 0.1380 0.8186
Tl: 0.8401 0.8195 0.1814

calculated formation energy = -130 meV per atom
size of the total moment = 1.614 μB/f.u.
symmetry = Ima2, No. 46

First-principles (GGA-PBE) data for an optimized crystal structure of Ce5TmTl8, as listed in the Alexandria database.

Unit cell a=8.2102 b=8.2102 c=8.2102 alpha=109.00 beta=110.42 gamma=109.00
Fractional coordinates of all 14 atoms:
Tl: 0.6086 0.9078 0.8755
Tl: 0.8012 0.2590 0.3891
Tm: 0.2500 0.5000 0.7500
Tl: 0.2992 0.2669 0.3914
Tl: 0.9677 0.0922 0.7008
Tl: 0.1301 0.7410 0.5422
Ce: 0.5000 0.0000 0.5000
Ce: 0.3716 0.1254 0.0098
Ce: 0.9902 0.3618 0.1157
Tl: 0.4578 0.5879 0.1988
Tl: 0.6109 0.4121 0.8699
Ce: 0.8843 0.8746 0.2462
Ce: 0.7538 0.6382 0.6284
Tl: 0.1245 0.7331 0.0323

calculated formation energy = -148 meV per atom
size of the total moment = 5.959 μB/f.u.
symmetry = I-4, No. 82

First-principles (GGA-PBE) data for an optimized crystal structure of CeTm4Tl2, as listed in the Alexandria database.

Unit cell a=5.0764 b=5.0764 c=10.4498 alpha=75.94 beta=75.94 gamma=60.00
Fractional coordinates of all 7 atoms:
Tl: 0.6032 0.6032 0.1903
Tm: 0.1150 0.1150 0.6549
Tm: 0.2919 0.2919 0.1242
Tm: 0.8850 0.8850 0.3451
Tl: 0.3968 0.3968 0.8097
Tm: 0.7081 0.7081 0.8758
Ce: 0.5000 0.5000 0.5000

calculated formation energy = 150 meV per atom
size of the total moment = 1.884 μB/f.u.
symmetry = R-3m, No. 166

First-principles (GGA-PBE) data for an optimized crystal structure of CeTmTl2, as listed in the Alexandria database.

Unit cell a=4.4872 b=4.9861 c=4.9861 alpha=90.00 beta=90.00 gamma=90.00
Fractional coordinates of all 4 atoms:
Tl: 0.0000 0.5000 0.0000
Tm: 0.5000 0.0000 0.0000
Ce: 0.5000 0.5000 0.5000
Tl: 0.0000 0.0000 0.5000

calculated formation energy = -245 meV per atom
size of the total moment = 1.489 μB/f.u.
symmetry = P4/mmm, No. 123

First-principles (GGA-PBE) data for an optimized crystal structure of CeTm5Tl3, as listed in the Alexandria database.

Unit cell a=6.6402 b=9.2824 c=9.2821 alpha=120.00 beta=90.00 gamma=90.00
Fractional coordinates of all 18 atoms:
Tm: 0.2500 0.0000 0.6743
Tl: 0.2500 0.3428 0.0000
Tl: 0.7500 0.6572 0.0000
Ce: 0.5000 0.0000 0.0000
Tl: 0.7500 0.3428 0.3428
Tl: 0.7500 0.0000 0.6572
Tm: 0.2500 0.3257 0.3257
Tl: 0.2500 0.6572 0.6572
Tm: 0.7500 0.3257 0.0000
Tm: 0.2500 0.6743 0.0000
Tm: 0.0000 0.3333 0.6667
Ce: 0.0000 0.0000 0.0000
Tm: 0.5000 0.6667 0.3333
Tm: 0.7500 0.6743 0.6743
Tl: 0.2500 0.0000 0.3428
Tm: 0.7500 0.0000 0.3257
Tm: 0.5000 0.3333 0.6667
Tm: 0.0000 0.6667 0.3333

calculated formation energy = -233 meV per atom
size of the total moment = 2.316 μB/f.u.
symmetry = P6_3/mcm, No. 193

First-principles (GGA-PBE) data for an optimized crystal structure of CeTmTl2, as listed in the Alexandria database.

Unit cell a=3.6405 b=3.6405 c=10.3895 alpha=79.91 beta=79.91 gamma=60.00
Fractional coordinates of all 4 atoms:
Ce: 0.5000 0.5000 0.5000
Tl: 0.2533 0.2533 0.2401
Tm: 0.0000 0.0000 0.0000
Tl: 0.7467 0.7467 0.7599

calculated formation energy = -161 meV per atom
size of the total moment = 1.206 μB/f.u.
symmetry = R-3m, No. 166